Record 1
This record from Alexandria describes a relaxed structure of Bi3Ir. The functional is PBE-GGA.

Uncorrected energy: -19.90 eV for the cell shown
Energy relative to the elements: 0.15 eV/atom
Relative energy among the computed polymorphs: 0.0500 eV/atom

abc: 3.513 5.429 6.816
angles: 113.47 104.93 90.00
Positions (direct):
Ir 0.000 0.015 0.000
Bi 0.328 0.697 0.657
Bi 0.500 0.414 0.000
Bi 0.672 0.041 0.343

Record 2
This record from Alexandria describes a relaxed structure of Bi3Ir. The functional is PBE-GGA.

Uncorrected energy: -40.21 eV for the cell shown
Energy relative to the elements: 0.10 eV/atom
Relative energy among the computed polymorphs: 0.0000 eV/atom

abc: 5.558 6.877 6.877
angles: 120.00 90.00 90.00
Positions (direct):
Bi 0.474 0.315 0.000
Bi 0.974 0.685 0.000
Bi 0.974 0.000 0.685
Bi 0.474 0.685 0.685
Bi 0.474 0.000 0.315
Bi 0.974 0.315 0.315
Ir 0.724 0.333 0.667
Ir 0.224 0.667 0.333

Record 3
This record from Alexandria describes a relaxed structure of Bi5Ir2. The functional is PBE-GGA.

Uncorrected energy: -73.29 eV for the cell shown
Energy relative to the elements: 0.07 eV/atom

abc: 6.946 6.915 8.408
angles: 100.25 114.40 90.00
Positions (direct):
Bi 0.211 0.451 0.180
Bi 0.031 0.049 0.820
Bi 0.190 0.704 0.575
Bi 0.614 0.796 0.425
Bi 0.810 0.296 0.425
Bi 0.386 0.204 0.575
Bi 0.969 0.951 0.180
Bi 0.789 0.549 0.820
Bi 0.546 0.250 0.000
Bi 0.454 0.750 0.000
Ir 0.155 0.424 0.790
Ir 0.365 0.076 0.210
Ir 0.845 0.576 0.210
Ir 0.635 0.924 0.790

Record 4
This record from Alexandria describes a relaxed structure of Bi5Ir. The functional is PBE-GGA.

Uncorrected energy: -27.55 eV for the cell shown
Energy relative to the elements: 0.12 eV/atom

abc: 3.437 6.806 9.228
angles: 60.24 79.27 75.37
Positions (direct):
Bi 0.939 0.092 0.029
Bi 0.305 0.001 0.388
Bi 0.672 0.907 0.748
Bi 0.670 0.518 0.142
Bi 0.941 0.482 0.636
Ir 0.305 0.499 0.890

Record 5
This record from Alexandria describes a relaxed structure of BiIr4. The functional is PBE-GGA.

Uncorrected energy: -25.79 eV for the cell shown
Energy relative to the elements: 2.71 eV/atom

abc: 4.903 4.903 4.903
angles: 90.00 90.00 90.00
Site moments in Bohr magnetons follow the coordinates.
Positions (direct):
Ir 0.000 0.000 0.000  1.56
Ir 0.500 0.000 0.500  0.50
Ir 0.000 0.500 0.500  0.50
Ir 0.500 0.500 0.000  0.50
Bi 0.500 0.500 0.500  -0.03

Record 6
This record from Alexandria describes a relaxed structure of K3BiIr. The functional is PBE-GGA.

Uncorrected energy: -12.42 eV for the cell shown
Energy relative to the elements: 0.72 eV/atom

abc: 6.103 6.103 6.103
angles: 90.00 90.00 90.00
Site moments in Bohr magnetons follow the coordinates.
Positions (direct):
K 0.000 0.500 0.000  0.01
K 0.000 0.000 0.500  0.00
K 0.500 0.000 0.000  0.02
Ir 0.000 0.000 0.000  1.30
Bi 0.500 0.500 0.500  0.91

Record 7
This record from Alexandria describes a relaxed structure of KBi3Ir. The functional is PBE-GGA.

Uncorrected energy: -20.44 eV for the cell shown
Energy relative to the elements: 0.23 eV/atom
Relative energy among the computed polymorphs: 0.0000 eV/atom

abc: 5.517 5.517 5.517
angles: 90.00 90.00 90.00
Positions (direct):
K 0.500 0.500 0.500
Ir 0.000 0.000 0.000
Bi 0.000 0.500 0.000
Bi 0.000 0.000 0.500
Bi 0.500 0.000 0.000

Record 8
This record from Alexandria describes a relaxed structure of KBi3Ir. The functional is PBE-GGA.

Uncorrected energy: -11.46 eV for the cell shown
Energy relative to the elements: 2.03 eV/atom
Relative energy among the computed polymorphs: 1.7955 eV/atom

abc: 5.723 5.723 5.723
angles: 90.00 90.00 90.00
Site moments in Bohr magnetons follow the coordinates.
Positions (direct):
K 0.000 0.000 0.000  0.08
Ir 0.500 0.500 0.500  1.50
Bi 0.000 0.500 0.000  0.13
Bi 0.000 0.000 0.500  0.15
Bi 0.500 0.000 0.000  0.10